[1]
Below is an optimized crystal structure of Ce2Dy5Ho12, with properties calculated at the PBE level.

- density of states at the Fermi level (states/eV per atom) = 2.01
- energy relative to the elements (eV per atom) = 0.14

Cell lengths 17.521, 11.521, 6.056 Å; angles 90.00, 102.94, 90.00 degrees
Space group C2/m (No. 12)
One atom of each set of equivalent atoms:
Ce1 0.000 0.224 0.000
Dy1 0.000 0.000 0.500
Dy2 0.176 0.500 0.862
Dy3 0.213 0.000 0.552
Ho1 0.058 0.500 0.278
Ho2 0.102 0.251 0.618
Ho3 0.118 0.000 0.001
Ho4 0.199 0.254 0.206

---

[2]
Below is an optimized crystal structure of KRb2BaBe, with properties calculated at the PBE level.

- density of states at the Fermi level (states/eV per atom) = 0.84
- energy relative to the elements (eV per atom) = 1.03

Cell lengths 7.482, 7.482, 8.048 Å; angles 90.00, 90.00, 90.00 degrees
Space group P4/mmm (No. 123)
One atom of each set of equivalent atoms:
K1 0.000 0.000 0.000
Rb1 0.000 0.500 0.000
Ba1 0.000 0.000 0.500
Be1 0.500 0.500 0.500

---

[3]
Below is an optimized crystal structure of KFe2As, with properties calculated at the PBE level.

- density of states at the Fermi level (states/eV per atom) = 1.30
- energy relative to the elements (eV per atom) = 0.95

Cell lengths 4.291, 4.291, 4.001 Å; angles 90.00, 90.00, 90.00 degrees
Space group P4/mmm (No. 123)
One atom of each set of equivalent atoms:
K1 0.000 0.000 0.000
Fe1 0.000 0.500 0.500
As1 0.500 0.500 0.000

---

[4]
Below is an optimized crystal structure of Th2Be3CoNi12, with properties calculated at the PBE level.

- density of states at the Fermi level (states/eV per atom) = 0.74
- energy relative to the elements (eV per atom) = 0.17

Cell lengths 7.2330, 7.2330, 17.1368 Å; angles 90.00, 90.00, 120.00 degrees
Space group R-3m (No. 166, hexagonal axes)
One atom of each set of equivalent atoms:
Th1 0.0000 0.0000 0.1126
Be1 0.0000 0.5000 0.0000
Co1 0.0000 0.0000 0.5000
Ni1 0.0060 0.5030 0.8783
Ni2 0.0325 0.5163 0.3674

---

[5]
Below is an optimized crystal structure of AcErGePt, with properties calculated at the PBE level.

- density of states at the Fermi level (states/eV per atom) = 0.63
- energy relative to the elements (eV per atom) = -0.83

Cell lengths 4.759, 4.759, 10.364 Å; angles 90.00, 90.00, 90.00 degrees
Space group P4/nmm (No. 129, origin choice 2)
One atom of each set of equivalent atoms:
Ac1 0.250 0.250 0.171
Er1 0.250 0.750 0.500
Ge1 0.250 0.250 0.876
Pt1 0.250 0.250 0.645

---

[6]
Below is an optimized crystal structure of MnAg2Sb, with properties calculated at the PBE level.

- energy relative to the elements, uncorrected (meV/atom) = 227
- density of states at the Fermi level (states/eV per atom) = 0.45

Cell lengths 9.312, 3.227, 5.293 Å; angles 90.00, 100.61, 90.00 degrees
Space group Cm (No. 8)
One atom of each set of equivalent atoms:
Mn1 0.000 0.000 0.000
Ag1 0.240 0.500 0.240
Ag2 0.491 0.000 0.465
Sb1 0.256 0.000 0.765

---

[7]
Below is an optimized crystal structure of CaCoCl4, with properties calculated at the PBE level.

- energy relative to the elements, uncorrected (meV/atom) = -1434

Cell lengths 7.398, 10.579, 8.600 Å; angles 90.00, 90.00, 90.00 degrees
Space group Cmcm (No. 63)
One atom of each set of equivalent atoms:
Ca1 0.000 0.000 0.000
Co1 0.000 0.361 0.250
Cl1 0.000 0.256 0.026
Cl2 0.246 0.011 0.750

---

[8]
Below is an optimized crystal structure of NaSm4Au5, with properties calculated at the PBE level.

- density of states at the Fermi level (states/eV per atom) = 0.68
- energy relative to the elements (eV per atom) = -0.70

Cell lengths 3.646, 3.646, 18.486 Å; angles 90.00, 90.00, 90.00 degrees
Space group P4/mmm (No. 123)
One atom of each set of equivalent atoms:
Na1 0.000 0.000 0.000
Sm1 0.000 0.000 0.195
Sm2 0.000 0.000 0.399
Au1 0.500 0.500 0.106
Au2 0.500 0.500 0.300
Au3 0.500 0.500 0.500

---

no.,V (Å³ per cell)
1,1191.4
2,450.6
3,73.7
4,776.4
5,234.7
6,156.4
7,673.1
8,245.8